Below is Li3Cu after structural relaxation, with properties calculated at the PBEsol level.

Unit cell a=9.076 b=2.678 c=4.846 alpha=90.00 beta=99.80 gamma=90.00
Space group C2/m (No. 12)
Asymmetric unit:
1 Li 0.000 0.000 0.000
2 Li 0.238 0.000 0.730
3 Cu 0.000 0.500 0.500

Properties
Its density of states at the Fermi level is 0.384 states/eV per atom. The total magnetization is 0.00 μB/cell. For the energy of formation, the calculation gives 0.052 eV/atom. As for the raw total energy: -20.06 eV/cell.